{"formula": "SrZnH6Ru", "functional": "PBE", "state": "relaxed", "lattice": [[4.714, 0.000, 0.000], [-2.357, 4.082, 0.000], [0.000, 0.000, 4.986]], "species": ["Sr", "Zn", "H", "H", "H", "H", "H", "H", "Ru"], "fractional_positions": [[0.000, 0.000, 0.000], [0.333, 0.667, 0.500], [0.410, 0.032, 0.714], [0.410, 0.378, 0.286], [0.622, 0.032, 0.286], [0.622, 0.590, 0.714], [0.968, 0.378, 0.714], [0.968, 0.590, 0.286], [0.667, 0.333, 0.500]], "e_tot_ev_per_fu": -34.75}